Entry 1:
First-principles (GGA-PBE) data for a relaxed structure of PmSm6Er3Tm2, as listed in Alexandria via LeMat-Bulk.

Output
D(E_F) = 14.15 states/eV per cell
ΔH_f (0 K) = 16 meV per atom

Structure (extended XYZ):
```
12
Lattice="-1.228 4.091 -4.495 2.864 -5.329 -1.358 -10.831 -4.658 0.140" Properties=species:S:1:pos:R:3 pbc="T T T"
Pm 0.000 0.000 0.000
Sm -7.569 -2.842 -4.802
Sm -1.490 -2.098 -4.355
Sm -1.625 -3.054 -0.911
Sm -6.202 -5.989 -3.754
Sm -7.704 -3.798 -1.357
Sm -2.992 0.093 -1.959
Er -3.234 -6.086 -1.811
Er -5.960 0.189 -3.901
Er -4.597 -2.948 -2.856
Tm 1.500 -2.189 -2.404
Tm 0.137 0.950 -3.449
```

***

Entry 2:
First-principles (GGA-PBE) data for a relaxed structure of Pm2Sm6Er3Tm, as listed in Alexandria via LeMat-Bulk.

Output
D(E_F) = 14.71 states/eV per cell
ΔH_f (0 K) = 16 meV per atom

Structure (extended XYZ):
```
12
Lattice="6.221 0.000 0.005 -3.109 5.388 0.005 -1.045 -1.810 11.678" Properties=species:S:1:pos:R:3 pbc="T T T"
Pm 0.000 3.592 0.005
Pm 3.111 1.796 0.005
Sm 3.101 1.790 8.737
Sm 2.075 3.593 2.961
Sm -1.035 1.787 2.952
Sm 0.001 3.581 8.737
Sm -0.009 -0.016 8.728
Sm 2.065 -0.003 2.952
Er -2.080 3.587 5.844
Er 4.146 -0.009 5.844
Er 1.033 1.789 5.844
Tm 0.000 0.000 0.000
```